[1]
Computed, not measured: an optimized crystal structure of LaVMo3 at the PBE level of DFT.

```
LaVMo3
1.0
4.704 0.000 0.000
0.000 4.704 0.000
0.000 0.000 4.704
La V Mo
1 1 3
direct
0.000 0.000 0.000 La
0.500 0.500 0.500 V
0.000 0.500 0.500 Mo
0.500 0.000 0.500 Mo
0.500 0.500 0.000 Mo
```

Its raw total energy is -41.969 eV per formula unit. Its energy of formation is 914 meV/atom.



[2]
Computed, not measured: an optimized crystal structure of CdNiAgP2 at the PBE level of DFT.

```
CdNiAgP2
1.0
4.874 0.000 0.000
0.000 4.874 0.000
0.000 0.000 4.782
Cd Ni Ag P
1 1 1 2
direct
0.000 0.000 0.000 Cd
0.000 0.000 0.500 Ni
0.500 0.500 0.500 Ag
0.000 0.500 0.000 P
0.500 0.000 0.000 P
```

Its raw total energy is -13.926 eV per formula unit. Its energy of formation is 1288 meV/atom.



[3]
Computed, not measured: an optimized crystal structure of Li2GaPd2O6 at the PBE level of DFT.

```
Li2GaPd2O6
1.0
2.690 -4.542 0.000
2.690 4.542 0.000
-1.951 0.000 4.911
Li Ga Pd O
2 1 2 6
direct
0.176 0.824 0.000 Li
0.824 0.176 0.000 Li
0.000 0.000 0.500 Ga
0.336 0.664 0.500 Pd
0.664 0.336 0.500 Pd
0.064 0.406 0.720 O
0.234 0.234 0.285 O
0.406 0.064 0.720 O
0.594 0.936 0.280 O
0.766 0.766 0.715 O
0.936 0.594 0.280 O
```

Its raw total energy is -59.457 eV per formula unit. The uncorrected formation energy is -1.13 eV/atom.



[4]
Computed, not measured: an optimized crystal structure of BaLiZn2F8 at the PBE level of DFT.

```
BaLiZn2F8
1.0
4.619 0.000 0.000
0.672 5.039 0.000
0.133 0.663 7.789
Ba Li Zn F
1 1 2 8
direct
0.000 0.000 0.000 Ba
0.000 0.000 0.500 Li
0.488 0.462 0.689 Zn
0.512 0.538 0.311 Zn
0.148 0.777 0.313 F
0.184 0.748 0.724 F
0.337 0.295 0.486 F
0.428 0.281 0.914 F
0.572 0.719 0.086 F
0.663 0.705 0.514 F
0.816 0.252 0.276 F
0.852 0.223 0.687 F
```

Its raw total energy is -52.159 eV per formula unit. The uncorrected formation energy is -2.57 eV/atom.



[5]
Computed, not measured: an optimized crystal structure of VPHRuS at the PBE level of DFT.

```
VPHRuS
1.0
3.024 0.000 0.000
-1.512 2.619 0.000
0.000 0.000 7.907
V P H Ru S
1 1 1 1 1
direct
0.000 0.000 0.000 V
0.000 0.000 0.686 P
0.667 0.333 0.913 H
0.333 0.667 0.501 Ru
0.333 0.667 0.190 S
```

Its raw total energy is -33.595 eV per formula unit.



| no. | total moment (μB/atom) |
| --- | --- |
| 1 | 0.1078 |
| 2 | 0.0000 |
| 3 | 0.0926 |
| 4 | 0.0890 |
| 5 | 0.0000 |